# GeMo2BrF

An optimized crystal structure of GeMo2BrF (PBE+U, the Alexandria database).

Calculated values
crystal system: tetragonal
M_tot: 8.27 μB/cell
raw total energy: -3.821 eV/atom

a b c (Å): 5.2741 5.2741 5.1628
angles (deg): 90.00 90.00 90.00
Fractional coordinates of all 5 atoms:
Ge: 0.0000 0.0000 0.0000
Mo: 0.0000 0.5000 0.0000
Mo: 0.5000 0.0000 0.0000
Br: 0.0000 0.0000 0.5000
F: 0.5000 0.5000 0.5000